Entry 1:
LuHfPb2 | PBE | optimized geometry

abc: 5.3466 5.3466 5.3466
angles: 60.00 60.00 60.00
Positions (direct):
Pb 0.0000 0.0000 0.0000
Pb 0.7500 0.7500 0.7500
Lu 0.5000 0.5000 0.5000
Hf 0.2500 0.2500 0.2500

***

Entry 2:
DyUAl | PBE | optimized geometry

Relative energy among the computed polymorphs in eV/atom: 0.000

abc: 4.9684 4.9684 4.9684
angles: 60.00 60.00 60.00
Positions (direct):
U 0.7500 0.7500 0.7500
Dy 0.2500 0.2500 0.2500
Al 0.0000 0.0000 0.0000

***

Entry 3:
SmScAg2Sn2 | PBE | optimized geometry

abc: 4.7007 4.7007 7.2476
angles: 90.00 90.00 120.00
Positions (direct):
Ag 0.3333 0.6667 0.9402
Ag 0.6667 0.3333 0.4656
Sn 0.6667 0.3333 0.0275
Sn 0.3333 0.6667 0.5473
Sc 0.0000 0.0000 0.7603
Sm 0.0000 0.0000 0.2591

***

Entry 4:
BaBeCoAs | PBE | optimized geometry

Relative energy among the computed polymorphs in eV/atom: 0.007

abc: 4.8300 4.8300 4.8300
angles: 60.00 60.00 60.00
Positions (direct):
Be 0.7500 0.7500 0.7500
Ba 0.5000 0.5000 0.5000
Co 0.0000 0.0000 0.0000
As 0.2500 0.2500 0.2500

***

Entry 5:
RbReAuS3 | PBE | optimized geometry

abc: 9.5884 8.6226 8.6226
angles: 155.42 90.00 90.00
Positions (direct):
S 0.9875 0.5985 0.4015
S 0.4875 0.4015 0.5985
S 0.5125 0.5985 0.4015
S 0.2500 0.0383 0.9618
Au 0.2500 0.3850 0.6150
Re 0.0000 0.0000 0.0000
Rb 0.2500 0.7148 0.2852
Au 0.7500 0.6150 0.3850
S 0.0125 0.4015 0.5985
Rb 0.7500 0.2852 0.7148
S 0.7500 0.9618 0.0383
Re 0.5000 0.0000 0.0000

***

Entry 6:
TbYFe4 | PBE | optimized geometry

Energy of formation from the pure elements in kJ/mol of atoms: -6

abc: 5.1233 5.1233 5.1233
angles: 60.00 60.00 60.00
Positions (direct):
Fe 0.6248 0.1255 0.6248
Y 0.0000 0.0000 0.0000
Fe 0.6248 0.6248 0.6248
Fe 0.6248 0.6248 0.1255
Fe 0.1255 0.6248 0.6248
Tb 0.2500 0.2500 0.2500

***

Entry 7:
UPt4S | PBE | optimized geometry

abc: 5.8024 5.8024 3.9190
angles: 90.00 90.00 94.06
Positions (direct):
Pt 0.2808 0.7192 0.0000
U 0.5000 0.5000 0.5000
S 0.0000 0.0000 0.0000
Pt 0.8173 0.8173 0.5000
Pt 0.7192 0.2808 0.0000
Pt 0.1827 0.1827 0.5000

***

Entry 8:
PmErTm | PBE | optimized geometry

Energy of formation from the pure elements in kJ/mol of atoms: 69
Relative energy among the computed polymorphs in eV/atom: 0.000

abc: 5.3974 5.3974 5.3974
angles: 60.00 60.00 60.00
Positions (direct):
Pm 0.7500 0.7500 0.7500
Er 0.2500 0.2500 0.2500
Tm 0.0000 0.0000 0.0000

***

Entry 9:
Nb2Pd | PBE | optimized geometry

Energy of formation from the pure elements in kJ/mol of atoms: 16

abc: 5.3242 5.3242 5.3242
angles: 60.00 60.00 60.00
Positions (direct):
Nb 0.6250 0.6250 0.1250
Nb 0.6250 0.6250 0.6250
Nb 0.6250 0.1250 0.6250
Nb 0.1250 0.6250 0.6250
Pd 0.2500 0.2500 0.2500
Pd 0.0000 0.0000 0.0000

***

Entry 10:
CdFeHgB | PBE | optimized geometry

Relative energy among the computed polymorphs in eV/atom: 0.000

abc: 4.5044 4.5044 4.5044
angles: 60.00 60.00 60.00
Positions (direct):
Fe 0.7500 0.7500 0.7500
B 0.0000 0.0000 0.0000
Cd 0.2500 0.2500 0.2500
Hg 0.5000 0.5000 0.5000

***

Entry 11:
TmIrPb2O6 | PBE | optimized geometry

Relative energy among the computed polymorphs in eV/atom: 0.005

abc: 5.7332 5.7332 5.8445
angles: 120.06 120.06 60.12
Positions (direct):
O 0.2876 0.8074 0.8129
Ir 0.0000 0.0000 0.0000
Pb 0.7475 0.7475 0.2326
Pb 0.2525 0.2525 0.7674
O 0.7645 0.7645 0.6839
O 0.8074 0.2876 0.8129
O 0.1926 0.7124 0.1871
O 0.2355 0.2355 0.3161
Tm 0.5000 0.5000 0.5000
O 0.7124 0.1926 0.1871

***

Entry 12:
BaFe2AsP | PBE | optimized geometry

Relative energy among the computed polymorphs in eV/atom: 0.000

abc: 6.8057 6.8057 6.8057
angles: 146.78 146.78 47.69
Positions (direct):
Fe 0.7557 0.2557 0.5000
Ba 0.9964 0.9964 0.0000
P 0.3380 0.3380 0.0000
Fe 0.2557 0.7557 0.5000
As 0.6542 0.6542 0.0000

***

Number 1: total magnetic moment 0.912 Bohr magnetons per cell, final energy -5.149 eV/atom. Number 2: total magnetic moment 3.453 Bohr magnetons per cell, final energy -5.946 eV/atom. Number 3: total magnetic moment 0.013 Bohr magnetons per cell, final energy -4.660 eV/atom. Number 4: total magnetic moment 0.496 Bohr magnetons per cell, final energy -3.757 eV/atom. Number 5: total magnetic moment 4.962 Bohr magnetons per cell, final energy -5.061 eV/atom. Number 6: total magnetic moment 6.531 Bohr magnetons per cell, final energy -7.446 eV/atom. Number 7: total magnetic moment 0.013 Bohr magnetons per cell, final energy -6.375 eV/atom. Number 8: total magnetic moment 0.006 Bohr magnetons per cell, final energy -3.881 eV/atom. Number 9: total magnetic moment 0.004 Bohr magnetons per cell, final energy -8.292 eV/atom. Number 10: total magnetic moment 2.559 Bohr magnetons per cell, final energy -2.954 eV/atom. Number 11: total magnetic moment 0.790 Bohr magnetons per cell, final energy -6.638 eV/atom. Number 12: total magnetic moment 0.019 Bohr magnetons per cell, final energy -6.402 eV/atom.